[1]
First-principles (PBE-GGA) data for a relaxed Sr2SnH12Rh3 crystal, as listed in the Alexandria database.

abc: 6.417 6.417 6.417
angles: 60.41 60.41 60.41
Fractional positions:
Sr1 0.111 0.111 0.111
Sr2 0.889 0.889 0.889
Sn1 0.500 0.500 0.500
H1 0.066 0.627 0.627
H2 0.198 0.198 0.629
H3 0.198 0.629 0.198
H4 0.371 0.802 0.802
H5 0.373 0.373 0.934
H6 0.373 0.934 0.373
H7 0.627 0.066 0.627
H8 0.627 0.627 0.066
H9 0.629 0.198 0.198
H10 0.802 0.371 0.802
H11 0.802 0.802 0.371
H12 0.934 0.373 0.373
Rh1 0.000 0.500 0.500
Rh2 0.500 0.000 0.500
Rh3 0.500 0.500 0.000

electronic total energy	-4.093	eV per atom
crystal system	trigonal
volume	189	Å³ per cell

=====

[2]
First-principles (PBE-GGA) data for a relaxed Sr2SnH6Rh crystal, as listed in the Alexandria database.

abc: 5.079 5.079 6.731
angles: 90.00 90.00 120.00
Fractional positions:
Sr1 0.333 0.667 0.219
Sr2 0.667 0.333 0.781
Sn1 0.000 0.000 0.500
H1 0.159 0.318 0.862
H2 0.159 0.841 0.862
H3 0.318 0.159 0.138
H4 0.682 0.841 0.862
H5 0.841 0.159 0.138
H6 0.841 0.682 0.138
Rh1 0.000 0.000 0.000

electronic total energy	-3.892	eV per atom
crystal system	trigonal
volume	150	Å³ per cell

=====

[3]
First-principles (PBE-GGA) data for a relaxed Sr2SnHRh crystal, as listed in the Alexandria database.

abc: 5.529 5.529 3.757
angles: 90.00 90.00 90.00
Fractional positions:
Sr1 0.000 0.500 0.000
Sr2 0.500 0.000 0.000
Sn1 0.000 0.000 0.500
H1 0.500 0.500 0.000
Rh1 0.500 0.500 0.500

electronic total energy	-4.019	eV per atom
crystal system	tetragonal
volume	115	Å³ per cell